Entry from Alexandria: an optimized crystal structure of Y2VF8 (GGA+U).

Cell: 3.5435 6.0532 6.9240 Å, 101.53 104.83 90.00°
Last column: nearest neighbours and their distance in Å.
Fractional coordinates of all 11 atoms:
Y1 0.1797 0.7028 0.3594  7 F 2.20-2.45
Y2 0.8203 0.2972 0.6406  7 F 2.20-2.45
F1 0.6000 0.5379 0.2001  2 Y 2.20
F2 0.3296 0.0122 0.6592  1 V 2.30, 3 Y 2.45-2.49
F3 0.2092 0.3383 0.4184  3 Y 2.32-2.36, 1 F 2.51
F4 0.0254 0.8134 0.0507  2 V 2.17, 1 Y 2.30
F5 0.7908 0.6617 0.5816  3 Y 2.32-2.36, 1 F 2.51
F6 0.6704 0.9878 0.3408  1 V 2.30, 3 Y 2.45-2.49
F7 0.4000 0.4621 0.7999  2 Y 2.20
F8 0.9746 0.1866 0.9493  2 V 2.17, 1 Y 2.30
V1 0.5000 0.0000 0.0000  6 F 2.17-2.30

Computed properties:
For the density of states at the Fermi level, the calculation gives 0.000 states/eV/f.u. The calculated total energy comes out at -6.85 eV per atom. Its symmetry is C2/m.